! MnZnRe2 PBE-GGA optimized geometry; values from VASP
&SYSTEM
  ibrav = 0, nat = 4, ntyp = 3
/
ATOMIC_SPECIES
Zn 65.41 Zn.upf
Mn 54.94 Mn.upf
Re 186.21 Re.upf
CELL_PARAMETERS angstrom
-2.4082 -0.7937 -3.1411
-2.7628 -0.9140 2.3492
-1.1731 3.5512 0.0020
ATOMIC_POSITIONS crystal
Zn 0.5000 0.5000 0.0000
Mn 0.5000 0.0000 0.5000
Re 0.0000 0.0000 0.0000
Re 0.0000 0.5000 0.5000
! * calculated formation energy: 0.97 eV/f.u.
! * final energy: -34.4 eV for the cell shown
! * density: 14.5 g/cm³